No. 1
Density functional theory data (GGA-PBE) for an optimized crystal structure of Ac2YInO6.

a = 5.975 Å, b = 6.144 Å, c = 10.416 Å
α = 90.00°, β = 124.62°, γ = 90.00°
Fractional coordinates of all 20 atoms:
Ac 0.235 0.049 0.249
Ac 0.235 0.451 0.749
Ac 0.765 0.549 0.251
Ac 0.765 0.951 0.751
Y 0.500 0.000 0.000
Y 0.500 0.500 0.500
In 0.000 0.000 0.500
In 0.000 0.500 0.000
O 0.138 0.204 0.941
O 0.138 0.296 0.441
O 0.236 0.700 0.941
O 0.236 0.800 0.441
O 0.357 0.044 0.747
O 0.357 0.456 0.247
O 0.643 0.544 0.753
O 0.643 0.956 0.253
O 0.764 0.200 0.559
O 0.764 0.300 0.059
O 0.862 0.704 0.559
O 0.862 0.796 0.059

Output
* formation energy from raw total energies: -2856 kJ/mol of formula units
* N(E_F): 0.00 states/eV/atom
* symmetry: P2_1/c (14)

No. 2
Density functional theory data (GGA-PBE) for an optimized crystal structure of Ac7In2Os2.

a = 7.478 Å, b = 7.478 Å, c = 7.613 Å
α = 90.00°, β = 90.00°, γ = 107.97°
Fractional coordinates of all 11 atoms:
Ac 0.000 0.000 0.000
Ac 0.000 0.500 0.249
Ac 0.000 0.500 0.751
Ac 0.500 0.000 0.249
Ac 0.500 0.000 0.751
Ac 0.500 0.500 0.245
Ac 0.500 0.500 0.755
In 0.164 0.164 0.500
In 0.836 0.836 0.500
Os 0.296 0.704 0.000
Os 0.704 0.296 0.000

Output
* N(E_F): 0.95 states/eV/atom
* symmetry: Cmmm (65)
* ΔE_f: -131 meV/atom

No. 3
Density functional theory data (GGA-PBE) for an optimized crystal structure of Ac6InOs2.

a = 9.281 Å, b = 9.281 Å, c = 9.281 Å
α = 112.64°, β = 109.90°, γ = 105.95°
Fractional coordinates of all 18 atoms:
Ac 0.034 0.237 0.797
Ac 0.182 0.282 0.465
Ac 0.182 0.718 0.900
Ac 0.330 0.012 0.682
Ac 0.330 0.647 0.318
Ac 0.441 0.237 0.203
Ac 0.559 0.763 0.797
Ac 0.670 0.353 0.682
Ac 0.670 0.988 0.318
Ac 0.818 0.282 0.100
Ac 0.818 0.718 0.535
Ac 0.966 0.763 0.203
In 0.000 0.000 0.000
In 0.500 0.500 0.000
Os 0.112 0.612 0.500
Os 0.327 0.000 0.327
Os 0.673 0.000 0.673
Os 0.888 0.388 0.500

Output
* N(E_F): 0.84 states/eV/atom
* symmetry: Immm (71)
* ΔE_f: -131 meV/atom

No. 4
Density functional theory data (GGA-PBE) for an optimized crystal structure of Ac8In2Os.

a = 10.362 Å, b = 10.362 Å, c = 7.472 Å
α = 107.07°, β = 107.07°, γ = 32.54°
Fractional coordinates of all 11 atoms:
Ac 0.017 0.017 0.289
Ac 0.209 0.209 0.784
Ac 0.356 0.356 0.556
Ac 0.409 0.409 0.087
Ac 0.591 0.591 0.913
Ac 0.644 0.644 0.444
Ac 0.791 0.791 0.216
Ac 0.983 0.983 0.711
In 0.183 0.183 0.219
In 0.817 0.817 0.781
Os 0.500 0.500 0.500

Output
* N(E_F): 1.05 states/eV/atom
* symmetry: C2/m (12)
* ΔE_f: -114 meV/atom

Q: The highest N(E_F) belongs to which entry?
A: Ac8In2Os